A relaxed structure of Ge2AsW. Source: Alexandria, functional PBE-GGA.

The value obtained for the density of states at the Fermi level is 0.531 states/eV per atom. For the spin magnetization, the calculation gives 1.127 μB per formula unit. The calculation puts the energy relative to the elements at 0.8154 eV per atom.

abc: 5.856 5.856 11.532
angles: 90.00 90.00 90.00
Space group I-42d (No. 122)
Inequivalent atoms, fractional coordinates:
1 Ge 0.241 0.250 0.125
2 As 0.000 0.000 0.500
3 W 0.000 0.000 0.000